This record from Alexandria describes a relaxed Li8CrO6 crystal. The functional is GGA+U.

a = 5.4044 Å, b = 5.4044 Å, c = 5.8701 Å
α = 62.59°, β = 62.59°, γ = 60.00°
With the nearest neighbours (Å) after each atom.
Sites, in units of the cell vectors:
Li 0.1000 0.7625 0.6476  4 O 1.90-2.06
Li 0.9000 0.2375 0.3524  4 O 1.90-2.06
Li 0.4900 0.1000 0.6476  4 O 1.90-2.06
Li 0.2375 0.5100 0.3524  4 O 1.90-2.06
Li 0.6592 0.6592 0.0225  6 O 2.13-2.31
Li 0.3408 0.3408 0.9775  6 O 2.13-2.31
Li 0.7625 0.4900 0.6476  4 O 1.90-2.06
Li 0.5100 0.9000 0.3524  4 O 1.90-2.06
O 0.2293 0.9116 0.2326  5 Li 1.90-2.13, 1 Cr 2.00
O 0.7707 0.0884 0.7674  5 Li 1.90-2.13, 1 Cr 2.00
O 0.3736 0.7707 0.7674  5 Li 1.90-2.13, 1 Cr 2.00
O 0.0884 0.3736 0.7674  5 Li 1.90-2.13, 1 Cr 2.00
O 0.6264 0.2293 0.2326  5 Li 1.90-2.13, 1 Cr 2.00
O 0.9116 0.6264 0.2326  5 Li 1.90-2.13, 1 Cr 2.00
Cr 0.0000 0.0000 0.0000  6 O 2.00

Summary:
Volume, Å³ per cell: 126
Energy above the lowest structure with this stoichiometry, meV per atom: 30.7
SG: R-3 (148)